Density functional theory data (meta-GGA SCAN) for Al2Si2Ge at its PBEsol-relaxed geometry.

Cell and atoms, written as POSCAR:
```
Al2Si2Ge
1.0
7.582 0.000 0.000
0.000 7.582 0.000
0.000 0.000 2.836
Al Si Ge
4 4 2
Cartesian
1.051 2.740 0.000
2.740 6.531 0.000
4.842 1.051 0.000
6.531 4.842 0.000
1.202 4.993 1.418
2.589 1.202 1.418
4.993 6.381 1.418
6.381 2.589 1.418
0.000 0.000 1.418
3.791 3.791 1.418
```

Summary:
SG: P4/mbm (127)
ΔE_f (raw): 0.30 eV per atom

***

Density functional theory data (meta-GGA SCAN) for AlSnGe3 at its PBEsol-relaxed geometry.

Cell and atoms, written as POSCAR:
```
AlSnGe3
1.0
5.196 0.000 0.000
0.000 5.196 0.000
0.000 0.000 5.196
Al Sn Ge
1 1 3
Cartesian
0.000 0.000 0.000
2.598 2.598 2.598
0.000 2.598 2.598
2.598 0.000 2.598
2.598 2.598 0.000
```

Summary:
SG: Pm-3m (221)
total DFT energy (no corrections): -95.125 eV/f.u.

***

Density functional theory data (meta-GGA SCAN) for SrAlGe at its PBEsol-relaxed geometry.

Cell and atoms, written as POSCAR:
```
SrAlGe
1.0
4.281 0.000 0.000
-2.140 3.707 0.000
0.000 0.000 4.669
Sr Al Ge
1 1 1
Cartesian
0.000 0.000 0.000
0.000 2.471 2.335
2.140 1.236 2.335
```

Summary:
SG: P-6m2 (187)
total DFT energy (no corrections): -50.690 eV/f.u.

***

Density functional theory data (meta-GGA SCAN) for Sr2Al2Ge at its PBEsol-relaxed geometry.

Cell and atoms, written as POSCAR:
```
Sr2Al2Ge
1.0
4.965 0.000 0.000
0.000 4.965 0.000
0.000 0.000 12.792
Sr Al Ge
4 4 2
Cartesian
0.000 2.482 3.198
0.000 2.482 9.594
2.482 0.000 3.198
2.482 0.000 9.594
0.000 0.000 1.190
0.000 0.000 11.602
2.482 2.482 5.206
2.482 2.482 7.586
0.000 0.000 6.396
2.482 2.482 0.000
```

Summary:
SG: I4/mmm (139)
total DFT energy (no corrections): -77.010 eV/f.u.

***

no.,M_tot (μB/atom)
1,0.00
2,0.00
3,0.00
4,0.00